The following is a DFT calculation (PBE+U) of a geometry-optimized KV2PdO6 structure.

Size of the total moment (Bohr magnetons per cell): 3.8
E_tot (eV/atom): -6.65

Lattice parameters (Å, degrees): 11.559 10.787 6.043 90.00 113.37 90.00
Space group C2/c (No. 15)
One atom of each set of equivalent atoms:
K 0.000 0.103 0.250 x4
V 0.200 0.414 0.153 x8
Pd 0.000 0.269 0.750 x4
O 0.125 0.273 0.109 x8
O 0.143 0.108 0.722 x8
O 0.159 0.499 0.870 x8